A plane-wave DFT calculation with GGA-PBE was carried out for an optimized crystal structure of Zr4BeN.

Properties
Space-group type: No. 15
Calculated volume (Å³ per cell): 213.02
Energy relative to the elements, uncorrected (eV/atom): -0.4389
Electronic total energy (eV per atom): -8.15

The structure in POSCAR format:
```
Zr4BeN
1.0
5.370 0.325 0.000
-0.993 6.035 0.000
-2.189 -3.180 6.508
Zr Be N
8 2 2
Direct
0.037 0.187 0.894
0.774 0.659 0.603
0.356 0.706 0.894
0.329 0.944 0.603
0.671 0.056 0.397
0.644 0.294 0.106
0.226 0.341 0.397
0.963 0.813 0.106
0.368 0.618 0.236
0.632 0.382 0.764
0.314 0.064 0.128
0.686 0.936 0.872
```